Density functional theory data (PBE) for an optimized crystal structure of AgB.

For the relative energy among the computed polymorphs, the calculation gives 0.006 eV per formula unit. The formation energy comes out at 0.380 eV/atom. As for the crystal system: triclinic.

It has space group P1 (No. 1), with a = 3.1605 Å, b = 4.4296 Å, c = 4.5251 Å, α = 89.86°, β = 72.00° and γ = 89.90°. The inequivalent atoms are Ag at (0.0000, 0.0000, 0.0000), Ag at (0.4718, 0.4998, 0.4895), B at (0.2353, 0.4997, 0.0231) and B at (0.7683, 0.5003, 0.9548).

Density functional theory data (PBE) for an optimized crystal structure of CaFe2Pt.

The formation energy comes out at 0.153 eV/atom. As for the crystal system: cubic.

It has space group Fm-3m (No. 225), with a = 6.3546 Å, b = 6.3546 Å, c = 6.3546 Å, α = 90.00°, β = 90.00° and γ = 90.00°. The inequivalent atoms are Ca at (0.0000, 0.0000, 0.0000), Fe at (0.2500, 0.2500, 0.2500) and Pt at (0.0000, 0.0000, 0.5000).

Density functional theory data (PBE) for an optimized crystal structure of MnGePHCN.

For the relative energy among the computed polymorphs, the calculation gives 0.868 eV per formula unit. As for the crystal system: monoclinic.

It has space group Cm (No. 8), with a = 10.0955 Å, b = 3.1378 Å, c = 4.4169 Å, α = 90.00°, β = 101.62° and γ = 90.00°. The inequivalent atoms are Mn at (0.0000, 0.0000, 0.0000), Ge at (0.2933, 0.5000, 0.5858), P at (0.0653, 0.5000, 0.6688), H at (0.2543, 0.0000, 0.0885), C at (0.3215, 0.0000, 0.3192) and N at (0.4635, 0.0000, 0.2909).